1.
An optimized crystal structure of La4GeAs3. Source: Alexandria, functional PBE.

The structure in extended XYZ format:
```
8
Lattice="-0.559 -6.119 -0.868 1.178 -0.961 6.017 -6.067 0.378 1.248" Properties=species:S:1:pos:R:3 pbc="T T T"
La -0.280 -3.060 -0.434
La -2.724 -3.351 3.198
La 0.589 -0.480 3.008
La -3.034 0.189 0.624
As -3.313 -2.871 0.190
As -2.445 -0.292 3.632
As 0.309 -3.540 2.574
Ge 0.000 0.000 0.000
```

Computed properties:
For the formation energy, the calculation gives -1.328 eV per atom.



2.
An optimized crystal structure of Co2ReCl2. Source: Alexandria, functional PBE.

The structure in extended XYZ format:
```
5
Lattice="-0.824 0.670 -4.390 0.333 -4.444 -0.741 -3.837 -2.259 -1.948" Properties=species:S:1:pos:R:3 pbc="T T T"
Cl -2.712 -4.004 -4.750
Cl -1.616 -2.029 -2.330
Co -2.453 -1.738 -4.452
Co -1.875 -4.295 -2.627
Re 0.000 0.000 0.000
```

Computed properties:
The value obtained for the distance to the lowest polymorph of the same formula is 24 meV per atom.



3.
An optimized crystal structure of Cu3PPb. Source: Alexandria, functional PBE.

The structure in extended XYZ format:
```
5
Lattice="-1.515 -2.058 4.172 2.391 -4.108 -1.159 3.991 1.680 2.278" Properties=species:S:1:pos:R:3 pbc="T T T"
P 2.434 -2.243 2.645
Cu -0.757 -1.029 2.086
Cu 1.995 0.840 1.139
Cu 1.195 -2.054 -0.579
Pb 0.000 0.000 0.000
```

Computed properties:
The value obtained for the distance to the lowest polymorph of the same formula is 1108 meV per atom. For the formation energy, the calculation gives 1.322 eV per atom.



no.,uncorrected energy (eV per atom)
1,-6.113
2,-5.049
3,-2.960